First-principles (PBE-GGA) data for a relaxed Zn2CrSe crystal, as listed in Alexandria via LeMat-Bulk.

raw total energy = -3.85 eV per atom
density = 6.4 Mg/m³
crystal system = tetragonal

Lattice parameters (Å, degrees): 2.9837 2.9837 7.6039 90.00 90.00 90.00
Atoms (fractional coordinates):
Cr1 0.0000 0.0000 0.5051
Se1 0.5000 0.5000 0.6724
Zn1 0.0000 0.0000 0.0495
Zn2 0.5000 0.5000 0.2730